Entry 1:
Ni2PO5 | GGA-PBEsol | optimized geometry

abc: 6.9260 6.9260 6.9260
angles: 135.25 135.25 65.14
Last column: nearest neighbours and their distance in Å.
Atoms (fractional coordinates):
Ni  0.0000  0.0000  0.0000  6 O 1.97-1.98
Ni  0.0000  0.0000  0.5000  6 O 1.97-1.98
Ni  0.0000  0.5000  0.0000  6 O 1.97-1.98
Ni  0.5000  0.0000  0.5000  6 O 1.97-1.98
P  0.3750  0.6250  0.7500  4 O 1.54
P  0.6250  0.3750  0.2500  4 O 1.54
O  0.1250  0.8750  0.2500  4 Ni 1.97
O  0.1975  0.6949  0.5025  1 P 1.54
O  0.3051  0.3076  0.5025  1 P 1.54
O  0.3051  0.8025  0.9975  1 P 1.54
O  0.3076  0.3051  0.0025  1 P 1.54
O  0.6924  0.6949  0.9975  1 P 1.54
O  0.6949  0.1975  0.0025  1 P 1.54
O  0.6949  0.6924  0.4975  1 P 1.54
O  0.8025  0.3051  0.4975  1 P 1.54
O  0.8750  0.1250  0.7500  4 Ni 1.97

Results
crystal system	tetragonal
formation energy (no corrections)	-1.370	eV/atom
Fermi-level density of states	3.41	states/eV/cell
magnetic moment	0.37	μB/atom
electronic total energy	-6.91	eV/atom
space-group type	I4_1/amd (141)
energy above the lowest structure with this stoichiometry	0	meV/atom

---

Entry 2:
NiP3O9 | GGA-PBEsol | optimized geometry

abc: 6.1004 6.1004 6.1004
angles: 105.58 105.58 105.58
Last column: nearest neighbours and their distance in Å.
Atoms (fractional coordinates):
Ni  0.0000  0.0000  0.0000  6 O 1.92
P  0.0412  0.9017  0.4840  4 O 1.50-1.61
P  0.4840  0.0412  0.9017  4 O 1.50-1.61
P  0.9017  0.4840  0.0412  4 O 1.50-1.61
O  0.0665  0.0673  0.3419  1 P 1.50
O  0.0673  0.3419  0.0665  1 P 1.50
O  0.3059  0.9006  0.6218  2 P 1.60-1.61
O  0.3419  0.0665  0.0673  1 P 1.50
O  0.6218  0.3059  0.9006  2 P 1.60-1.61
O  0.6622  0.9178  0.9619  1 P 1.50
O  0.9006  0.6218  0.3059  2 P 1.60-1.61
O  0.9178  0.9619  0.6622  1 P 1.50
O  0.9619  0.6622  0.9178  1 P 1.50

Results
crystal system	trigonal
formation energy (no corrections)	-1.820	eV/atom
Fermi-level density of states	3.76	states/eV/cell
magnetic moment	0.08	μB/atom
electronic total energy	-7.26	eV/atom
space-group type	R3 (146)
energy above the lowest structure with this stoichiometry	0	meV/atom

---

Entry 3:
NiP3O9 | GGA-PBEsol | optimized geometry

abc: 11.3466 11.3466 9.1484
angles: 109.18 109.18 111.43
Last column: nearest neighbours and their distance in Å.
Atoms (fractional coordinates):
Ni  0.0787  0.9213  0.5000  6 O 1.86-2.03
Ni  0.2214  0.7356  0.9654  6 O 1.84-1.98
Ni  0.4115  0.5911  0.5070  6 O 1.85-2.06
Ni  0.5911  0.4115  0.0070  6 O 1.85-2.06
Ni  0.7356  0.2214  0.4654  6 O 1.84-1.98
Ni  0.9213  0.0787  0.0000  6 O 1.86-2.03
P  0.1480  0.5496  0.1451  4 O 1.49-1.59
P  0.2120  0.4896  0.6560  4 O 1.50-1.60
P  0.2562  0.2874  0.7799  4 O 1.48-1.60
P  0.2592  0.9899  0.3071  4 O 1.50-1.59
P  0.2874  0.2562  0.2799  4 O 1.48-1.60
P  0.3122  0.9281  0.8018  4 O 1.51-1.58
P  0.4896  0.2120  0.1560  4 O 1.50-1.60
P  0.5496  0.1480  0.6451  4 O 1.49-1.59
P  0.5633  0.9265  0.7497  4 O 1.48-1.62
P  0.5736  0.8709  0.2125  4 O 1.50-1.61
P  0.6141  0.6707  0.3460  4 O 1.49-1.61
P  0.6707  0.6141  0.8460  4 O 1.49-1.61
P  0.8411  0.8990  0.1851  4 O 1.51-1.59
P  0.8709  0.5736  0.7125  4 O 1.50-1.61
P  0.8990  0.8411  0.6851  4 O 1.51-1.59
P  0.9265  0.5633  0.2497  4 O 1.48-1.62
P  0.9281  0.3122  0.3018  4 O 1.51-1.58
P  0.9899  0.2592  0.8071  4 O 1.50-1.59
O  0.0114  0.6537  0.8876  1 P 1.50
O  0.0185  0.4040  0.9576  2 P 1.59
O  0.0338  0.9342  0.6839  1 P 1.51
O  0.0559  0.6071  0.2079  2 P 1.58
O  0.0742  0.3553  0.4639  2 P 1.58-1.60
O  0.1260  0.9071  0.3175  1 P 1.51
O  0.1439  0.1856  0.1159  1 P 1.48
O  0.1527  0.2974  0.8613  2 P 1.59-1.60
O  0.1584  0.5456  0.7760  1 P 1.50
O  0.1856  0.1439  0.6159  1 P 1.48
O  0.2080  0.7961  0.7979  1 P 1.51
O  0.2278  0.5131  0.2702  1 P 1.49
O  0.2464  0.9178  0.1286  1 P 1.50
O  0.2467  0.6679  0.1241  1 P 1.52
O  0.2486  0.9265  0.6273  1 P 1.51
O  0.2860  0.4102  0.7237  2 P 1.57-1.60
O  0.2974  0.1527  0.3613  2 P 1.59-1.60
O  0.3147  0.6047  0.6362  1 P 1.51
O  0.3458  0.3956  0.4490  1 P 1.51
O  0.3553  0.0742  0.9639  2 P 1.58-1.60
O  0.3956  0.3458  0.9490  1 P 1.51
O  0.4040  0.0185  0.4576  2 P 1.59
O  0.4102  0.2860  0.2237  2 P 1.57-1.60
O  0.4352  0.8243  0.0544  1 P 1.50
O  0.4659  0.9455  0.8402  2 P 1.58-1.62
O  0.4701  0.7867  0.5670  1 P 1.52
O  0.5087  0.5734  0.3810  1 P 1.51
O  0.5131  0.2278  0.7702  1 P 1.49
O  0.5401  0.7435  0.2602  2 P 1.58-1.59
O  0.5456  0.1584  0.2760  1 P 1.50
O  0.5734  0.5087  0.8810  1 P 1.51
O  0.5960  0.6627  0.7345  1 P 1.49
O  0.6047  0.3147  0.1362  1 P 1.51
O  0.6071  0.0559  0.7079  2 P 1.58
O  0.6537  0.0114  0.3876  1 P 1.50
O  0.6627  0.5960  0.2345  1 P 1.49
O  0.6679  0.2467  0.6241  1 P 1.52
O  0.6795  0.8633  0.1324  2 P 1.58-1.61
O  0.7000  0.9588  0.8931  1 P 1.48
O  0.7435  0.5401  0.7602  2 P 1.58-1.59
O  0.7550  0.8124  0.5336  2 P 1.59-1.61
O  0.7867  0.4701  0.0670  1 P 1.52
O  0.7961  0.2080  0.2979  1 P 1.51
O  0.8124  0.7550  0.0336  2 P 1.59-1.61
O  0.8243  0.4352  0.5544  1 P 1.50
O  0.8633  0.6795  0.6324  2 P 1.58-1.61
O  0.9071  0.1260  0.8175  1 P 1.51
O  0.9073  0.9122  0.3670  1 P 1.51
O  0.9122  0.9073  0.8670  1 P 1.51
O  0.9178  0.2464  0.6286  1 P 1.50
O  0.9265  0.2486  0.1273  1 P 1.51
O  0.9342  0.0338  0.1839  1 P 1.51
O  0.9455  0.4659  0.3402  2 P 1.58-1.62
O  0.9588  0.7000  0.3931  1 P 1.48

Results
crystal system	monoclinic
formation energy (no corrections)	-1.806	eV/atom
Fermi-level density of states	5.33	states/eV/cell
magnetic moment	0.08	μB/atom
electronic total energy	-7.25	eV/atom
space-group type	Cc (9)
energy above the lowest structure with this stoichiometry	14	meV/atom

---

Entry 4:
Ni2P2O | GGA-PBEsol | optimized geometry

abc: 3.3840 3.3840 10.3955
angles: 90.00 90.00 90.00
Last column: nearest neighbours and their distance in Å.
Atoms (fractional coordinates):
Ni  0.0000  0.0000  0.1106  4 P 2.23, 1 Ni 2.30
Ni  0.0000  0.0000  0.8894  4 P 2.23, 1 Ni 2.30
Ni  0.5000  0.5000  0.3894  4 P 2.23, 1 Ni 2.30
Ni  0.5000  0.5000  0.6106  4 P 2.23, 1 Ni 2.30
P  0.0000  0.5000  0.2500  4 Ni 2.23, 4 P 2.39
P  0.0000  0.5000  0.7500  4 Ni 2.23, 4 P 2.39
P  0.5000  0.0000  0.2500  4 Ni 2.23, 4 P 2.39
P  0.5000  0.0000  0.7500  4 Ni 2.23, 4 P 2.39
O  0.0000  0.0000  0.5000  8 Ni 2.65
O  0.5000  0.5000  0.0000  8 Ni 2.65

Results
crystal system	tetragonal
formation energy (no corrections)	0.209	eV/atom
Fermi-level density of states	4.06	states/eV/cell
magnetic moment	0.00	μB/atom
electronic total energy	-5.62	eV/atom
space-group type	I4/mmm (139)

---

Entry 5:
Ni3P4PbO14 | GGA-PBEsol | optimized geometry

abc: 7.3974 7.6514 9.4131
angles: 90.00 112.28 90.00
Last column: nearest neighbours and their distance in Å.
Atoms (fractional coordinates):
Ni  0.0000  0.0000  0.0000  6 O 2.02-2.11
Ni  0.0000  0.5000  0.5000  6 O 2.02-2.11
Ni  0.1829  0.1255  0.5248  6 O 2.01-2.18
Ni  0.1829  0.3745  0.0248  6 O 2.01-2.18
Ni  0.8171  0.6255  0.9752  6 O 2.01-2.18
Ni  0.8171  0.8745  0.4752  6 O 2.01-2.18
P  0.1088  0.7038  0.8056  4 O 1.52-1.60
P  0.1088  0.7962  0.3056  4 O 1.52-1.60
P  0.3972  0.0583  0.3001  4 O 1.52-1.60
P  0.3972  0.4417  0.8001  4 O 1.52-1.60
P  0.6028  0.5583  0.1999  4 O 1.52-1.60
P  0.6028  0.9417  0.6999  4 O 1.52-1.60
P  0.8912  0.2038  0.6944  4 O 1.52-1.60
P  0.8912  0.2962  0.1944  4 O 1.52-1.60
Pb  0.5000  0.0000  0.0000  8 O 2.56-2.72
Pb  0.5000  0.5000  0.5000  8 O 2.56-2.72
O  0.0016  0.2107  0.8689  1 P 1.53
O  0.0016  0.2893  0.3689  1 P 1.53
O  0.0246  0.5721  0.8873  1 P 1.54
O  0.0246  0.9279  0.3873  1 P 1.54
O  0.1512  0.6214  0.3888  1 P 1.52
O  0.1512  0.8786  0.8888  1 P 1.52
O  0.2659  0.1201  0.1350  1 P 1.56
O  0.2659  0.3799  0.6350  1 P 1.56
O  0.3186  0.6314  0.8212  2 P 1.60
O  0.3186  0.8686  0.3212  2 P 1.60
O  0.3748  0.1783  0.4214  1 P 1.52
O  0.3748  0.3217  0.9214  1 P 1.52
O  0.3957  0.5224  0.1907  1 P 1.53
O  0.3957  0.9776  0.6907  1 P 1.53
O  0.6043  0.0224  0.3093  1 P 1.53
O  0.6043  0.4776  0.8093  1 P 1.53
O  0.6252  0.6783  0.0786  1 P 1.52
O  0.6252  0.8217  0.5786  1 P 1.52
O  0.6814  0.1314  0.6788  2 P 1.60
O  0.6814  0.3686  0.1788  2 P 1.60
O  0.7341  0.6201  0.3650  1 P 1.56
O  0.7341  0.8799  0.8650  1 P 1.56
O  0.8488  0.1214  0.1112  1 P 1.52
O  0.8488  0.3786  0.6112  1 P 1.52
O  0.9754  0.0721  0.6127  1 P 1.54
O  0.9754  0.4279  0.1127  1 P 1.54
O  0.9984  0.7107  0.6311  1 P 1.53
O  0.9984  0.7893  0.1311  1 P 1.53

Results
crystal system	monoclinic
formation energy (no corrections)	-1.724	eV/atom
magnetic moment	0.27	μB/atom
electronic total energy	-7.14	eV/atom
space-group type	P2_1/c (14)

---

Entry 6:
NiP2RhO | GGA-PBEsol | optimized geometry

abc: 4.4807 4.4807 3.3057
angles: 90.00 90.00 90.00
Last column: nearest neighbours and their distance in Å.
Atoms (fractional coordinates):
Ni  0.0000  0.0000  0.0000  2 O 1.65
P  0.0000  0.5000  0.0000  2 Ni 2.24
P  0.5000  0.0000  0.0000  2 Ni 2.24
Rh  0.5000  0.5000  0.5000  8 P 2.78
O  0.0000  0.0000  0.5000  2 Ni 1.65

Results
crystal system	tetragonal
formation energy (no corrections)	0.241	eV/atom
Fermi-level density of states	3.99	states/eV/cell
magnetic moment	0.13	μB/atom
electronic total energy	-5.99	eV/atom
space-group type	P4/mmm (123)

---

> Among the records above, which one has the highest magnetic moment?

Ni2PO5

---

> Number 4 is which compound?

Ni2P2O

---

> Among the records above, which one has the lowest formation energy (no corrections)?

number 2

---

> Which of these has the highest formation energy (no corrections)?

NiP2RhO